A plane-wave DFT calculation with PBE was carried out for a geometry-optimized NpCdTe2 structure.

POSCAR file:
```
NpCdTe2
1.0
-3.3293 0.8724 -1.8712
-2.7393 -1.5680 4.1428
0.1736 4.8292 1.9426
Cd Te Np
1 2 1
direct
0.5000 0.5000 0.5000 Cd
0.0000 0.0000 0.5000 Te
0.0000 0.5000 0.0000 Te
0.5000 0.0000 0.0000 Np
```

Summary:
VASP energy: -5.40 eV/atom
Energy above the most stable polymorph in this dataset: 0.000 eV/atom
ΔE_f (raw): -0.365 eV/atom
Theoretical density: 9.4 g cm⁻³
Density of states at the Fermi level: 8.277 states/eV per cell
Space-group type: P4/mmm, No. 123